Arrangement w

Crystalline Cu4Re3 at its relaxed geometry, computed with PBE-GGA.

a b c (Å): 13.122 13.122 13.122
angles (deg): 168.26 168.26 16.63
Fractional coordinates of all 7 atoms:
1 Cu 0.861 0.861 0.000
2 Cu 0.573 0.573 0.000
3 Cu 0.427 0.427 0.000
4 Cu 0.139 0.139 0.000
5 Re 0.000 0.000 0.000
6 Re 0.712 0.712 0.000
7 Re 0.288 0.288 0.000

Properties
space-group type	No. 139

Arrangement x

Crystalline Cu4Re3 at its relaxed geometry, computed with PBE-GGA.

a b c (Å): 5.055 5.055 4.678
angles (deg): 90.00 90.00 120.00
Fractional coordinates of all 7 atoms:
1 Cu 0.000 0.000 0.247
2 Cu 0.000 0.000 0.753
3 Cu 0.667 0.333 0.500
4 Cu 0.333 0.667 0.500
5 Re 0.000 0.500 0.000
6 Re 0.500 0.500 0.000
7 Re 0.500 0.000 0.000

Properties
space-group type	No. 191

arrangement w takes first place; second place is 24.3 kJ/mol of atoms up.

Arrangement w

Crystalline Cu2Re3 at its relaxed geometry, computed with PBE-GGA.

a b c (Å): 7.966 6.984 5.090
angles (deg): 80.91 59.97 39.12
Fractional coordinates of all 10 atoms:
1 Cu 0.551 0.355 0.921
2 Cu 0.174 0.921 0.355
3 Cu 0.895 0.699 0.076
4 Cu 0.329 0.076 0.699
5 Re 0.478 0.332 0.477
6 Re 0.713 0.477 0.332
7 Re 0.918 0.772 0.537
8 Re 0.773 0.537 0.772
9 Re 0.085 0.915 0.915
10 Re 0.335 0.165 0.165

Properties
space-group type	No. 43

Arrangement x

Crystalline Cu2Re3 at its relaxed geometry, computed with PBE-GGA.

a b c (Å): 4.091 4.091 5.103
angles (deg): 90.00 90.00 120.00
Fractional coordinates of all 5 atoms:
1 Cu 0.667 0.333 0.147
2 Cu 0.333 0.667 0.853
3 Re 0.000 0.000 0.000
4 Re 0.667 0.333 0.630
5 Re 0.333 0.667 0.370

Properties
space-group type	No. 164

arrangement w takes first place; second place is 55.4 kJ/mol of atoms up.

Arrangement w

Crystalline Cu4Re5 at its relaxed geometry, computed with PBE-GGA.

a b c (Å): 6.022 6.022 6.022
angles (deg): 95.67 95.67 143.34
Fractional coordinates of all 9 atoms:
1 Cu 0.336 0.000 0.336
2 Cu 0.664 0.000 0.664
3 Cu 0.000 0.664 0.664
4 Cu 0.000 0.336 0.336
5 Re 0.000 0.000 0.000
6 Re 0.333 0.667 0.000
7 Re 0.667 0.667 0.334
8 Re 0.333 0.333 0.666
9 Re 0.667 0.333 0.000

Properties
space-group type	No. 139

Arrangement x

Crystalline Cu4Re5 at its relaxed geometry, computed with PBE-GGA.

a b c (Å): 7.427 7.427 5.139
angles (deg): 90.00 90.00 60.00
Fractional coordinates of all 18 atoms:
1 Re 0.301 0.699 0.250
2 Re 0.000 0.301 0.250
3 Re 0.699 0.000 0.250
4 Re 0.699 0.301 0.750
5 Re 0.000 0.699 0.750
6 Re 0.301 0.000 0.750
7 Re 0.333 0.333 0.000
8 Re 0.667 0.667 0.500
9 Re 0.667 0.667 0.000
10 Re 0.333 0.333 0.500
11 Cu 0.000 0.000 0.000
12 Cu 0.000 0.000 0.500
13 Cu 0.632 0.368 0.250
14 Cu 0.000 0.632 0.250
15 Cu 0.368 0.000 0.250
16 Cu 0.368 0.632 0.750
17 Cu 0.000 0.368 0.750
18 Cu 0.632 0.000 0.750

Properties
space-group type	No. 193

arrangement w takes first place; second place is 27.2 kJ/mol of atoms up.

Arrangement w

Crystalline CuRe4 at its relaxed geometry, computed with PBE-GGA.

a b c (Å): 4.370 4.370 4.370
angles (deg): 90.00 90.00 90.00
Fractional coordinates of all 5 atoms:
1 Re 0.000 0.000 0.000
2 Re 0.500 0.000 0.500
3 Re 0.000 0.500 0.500
4 Re 0.500 0.500 0.000
5 Cu 0.500 0.500 0.500

Properties
space-group type	No. 221

Arrangement x

Crystalline CuRe4 at its relaxed geometry, computed with PBE-GGA.

a b c (Å): 6.209 6.209 6.209
angles (deg): 142.00 142.00 54.84
Fractional coordinates of all 5 atoms:
1 Cu 0.000 0.000 0.000
2 Re 0.250 0.750 0.500
3 Re 0.386 0.386 0.000
4 Re 0.614 0.614 0.000
5 Re 0.750 0.250 0.500

Properties
space-group type	No. 139

Arrangement y

Crystalline CuRe4 at its relaxed geometry, computed with PBE-GGA.

a b c (Å): 4.736 4.736 4.736
angles (deg): 99.79 99.79 131.30
Fractional coordinates of all 5 atoms:
1 Cu 0.000 0.000 0.000
2 Re 0.794 0.410 0.204
3 Re 0.206 0.590 0.796
4 Re 0.590 0.794 0.384
5 Re 0.410 0.206 0.616

Properties
space-group type	No. 87

arrangement y takes first place; second place is 55.4 kJ/mol of atoms up.

Arrangement w

Crystalline Cu3Re5 at its relaxed geometry, computed with PBE-GGA.

a b c (Å): 7.251 7.251 4.884
angles (deg): 90.00 90.00 60.00
Fractional coordinates of all 16 atoms:
1 Re 0.775 0.225 0.250
2 Re 0.225 0.775 0.750
3 Re 0.225 0.000 0.250
4 Re 0.000 0.225 0.750
5 Re 0.667 0.667 0.000
6 Re 0.667 0.667 0.500
7 Re 0.333 0.333 0.000
8 Re 0.333 0.333 0.500
9 Re 0.775 0.000 0.750
10 Re 0.000 0.775 0.250
11 Cu 0.597 0.403 0.750
12 Cu 0.403 0.597 0.250
13 Cu 0.403 0.000 0.750
14 Cu 0.000 0.403 0.250
15 Cu 0.597 0.000 0.250
16 Cu 0.000 0.597 0.750

Properties
space-group type	No. 193

Arrangement x

Crystalline Cu3Re5 at its relaxed geometry, computed with PBE-GGA.

a b c (Å): 5.449 5.449 3.772
angles (deg): 90.00 90.00 92.39
Fractional coordinates of all 8 atoms:
1 Cu 0.500 0.500 0.000
2 Cu 0.256 0.256 0.500
3 Cu 0.744 0.744 0.500
4 Re 0.000 0.000 0.000
5 Re 0.000 0.500 0.000
6 Re 0.500 0.000 0.000
7 Re 0.755 0.245 0.500
8 Re 0.245 0.755 0.500

Properties
space-group type	No. 65

arrangement x takes first place; second place is 15.0 kJ/mol of atoms up.

Arrangement w

Crystalline CuRe2Rh at its relaxed geometry, computed with PBE-GGA.

a b c (Å): 4.698 4.698 4.785
angles (deg): 81.79 81.79 32.92
Fractional coordinates of all 4 atoms:
1 Cu 0.249 0.249 0.256
2 Re 0.001 0.001 0.998
3 Re 0.756 0.756 0.756
4 Rh 0.494 0.494 0.490

Properties
space-group type	No. 8

Arrangement x

Crystalline CuRe2Rh at its relaxed geometry, computed with PBE-GGA.

a b c (Å): 8.894 8.894 8.894
angles (deg): 17.80 17.80 17.80
Fractional coordinates of all 4 atoms:
1 Cu 0.751 0.751 0.751
2 Re 0.000 0.000 0.000
3 Re 0.250 0.250 0.250
4 Rh 0.500 0.500 0.500

Properties
space-group type	No. 160

Arrangement y

Crystalline CuRe2Rh at its relaxed geometry, computed with PBE-GGA.

a b c (Å): 4.616 4.616 2.680
angles (deg): 90.00 90.00 90.00
Fractional coordinates of all 4 atoms:
1 Cu 0.000 0.500 0.500
2 Re 0.000 0.000 0.000
3 Re 0.500 0.500 0.000
4 Rh 0.500 0.000 0.500

Properties
space-group type	No. 123

arrangement x takes first place; second place is 3.3 kJ/mol of atoms up.